# GGA-PBEsol MgTaO2, relaxed
data_MgTaO2
_chemical_formula_sum 'Mg4 Ta4 O8'
_space_group_name_H-M_alt 'I -4 2 d'
_space_group_IT_number 122
_space_group_name_Hall 'I -4 2bw'
_cell_length_a 4.816
_cell_length_b 4.816
_cell_length_c 8.881
_cell_angle_alpha 90.00
_cell_angle_beta 90.00
_cell_angle_gamma 90.00
loop_
_atom_site_label
_atom_site_type_symbol
_atom_site_fract_x
_atom_site_fract_y
_atom_site_fract_z
Mg1 Mg 0.000 0.000 0.000
Ta1 Ta 0.000 0.000 0.500
O1 O 0.237 0.250 0.125
# total magnetization = 0.0 μB per formula unit
# uncorrected energy = -31.278 eV per formula unit
# calculated volume = 205.9 Å³ per cell